No. 1
Crystalline HfTl2N at its relaxed geometry. Source: OQMD via LeMat-Bulk, functional PBE.

Cell lengths 3.3441, 3.3441, 15.8848 Å; angles 90.00, 90.00, 120.00 degrees
Last column: nearest neighbours and their distance in Å.
Element x y z (fractional)
Hf 0.3333 0.6667 0.2500  6 Tl 3.14, 6 Hf 3.34
Hf 0.6667 0.3333 0.7500  6 Tl 3.14, 6 Hf 3.34
Tl 0.3333 0.6667 0.5939  3 N 2.44
Tl 0.3333 0.6667 0.9061  3 N 2.44
Tl 0.6667 0.3333 0.0939  3 N 2.44
Tl 0.6667 0.3333 0.4061  3 N 2.44
N 0.0000 0.0000 0.0000  6 Tl 2.44
N 0.0000 0.0000 0.5000  6 Tl 2.44

Results
SG ... P6_3/mmc, No. 194

---

No. 2
Crystalline Hf3TlN2 at its relaxed geometry. Source: OQMD via LeMat-Bulk, functional PBE.

Cell lengths 3.2206, 3.2206, 20.2515 Å; angles 90.00, 90.00, 120.00 degrees
Last column: nearest neighbours and their distance in Å.
Element x y z (fractional)
Hf 0.0000 0.0000 0.0000  6 N 2.27
Hf 0.0000 0.0000 0.5000  6 N 2.27
Hf 0.3333 0.6667 0.1274  3 N 2.26
Hf 0.3333 0.6667 0.3726  3 N 2.26
Hf 0.6667 0.3333 0.6274  3 N 2.26
Hf 0.6667 0.3333 0.8726  3 N 2.26
Tl 0.0000 0.0000 0.2500  6 Hf 3.10, 6 Tl 3.22
Tl 0.0000 0.0000 0.7500  6 Hf 3.10, 6 Tl 3.22
N 0.3333 0.6667 0.5642  6 Hf 2.26-2.27
N 0.3333 0.6667 0.9358  6 Hf 2.26-2.27
N 0.6667 0.3333 0.0642  6 Hf 2.26-2.27
N 0.6667 0.3333 0.4358  6 Hf 2.26-2.27

Results
SG ... P6_3/mmc, No. 194

---

no.,energy (eV per atom),V (A^3/atom)
1,-5.10,19.230
2,-9.31,15.159